CdPRh: relaxed, PBE.

Cell lengths 5.9584, 5.9584, 5.9584 Å; angles 150.80, 150.80, 41.77 degrees
With the nearest neighbours (Å) after each atom.
Fractional coordinates of all 3 atoms:
1 Cd 0.0059 0.0059 0.0000  4 Rh 2.98, 4 Cd 3.00, 5 P 3.13-3.27
2 P 0.3000 0.3000 0.0000  4 Rh 2.43
3 Rh 0.6941 0.6941 0.0000  4 P 2.43

Summary:
E_tot: -4.81 eV/atom
formation energy from the elements: -0.2485 eV per atom
D(E_F): 0.320 states/eV per atom
total magnetization: 0.00 μB per formula unit
SG: I4mm

---

CdPRh: relaxed, PBE.

Cell lengths 2.9674, 4.2772, 5.1374 Å; angles 78.68, 73.99, 70.55 degrees
With the nearest neighbours (Å) after each atom.
Fractional coordinates of all 3 atoms:
1 Cd 0.8383 0.9401 0.0089  1 P 2.64, 3 Rh 2.76-2.89
2 P 0.7791 0.5797 0.4912  3 Rh 2.28-2.34
3 Rh 0.4582 0.1485 0.5485  3 P 2.28-2.34

Summary:
E_tot: -4.80 eV/atom
formation energy from the elements: -0.2367 eV per atom
D(E_F): 0.355 states/eV per atom
total magnetization: 0.00 μB per formula unit
SG: P1

---

CdP2Rh: relaxed, PBE.

Cell lengths 4.3742, 4.3742, 6.0786 Å; angles 76.58, 76.58, 41.79 degrees
With the nearest neighbours (Å) after each atom.
Fractional coordinates of all 4 atoms:
1 Cd 0.8316 0.8316 0.7571  2 Rh 2.83, 3 P 2.85-2.89, 2 Cd 3.12
2 P 0.0626 0.0626 0.0401  1 P 2.18
3 P 0.1609 0.1609 0.3429  1 P 2.18, 3 Rh 2.34-2.35
4 Rh 0.4450 0.4450 0.3598  5 P 2.34-2.49

Summary:
E_tot: -4.92 eV/atom
formation energy from the elements: -0.1507 eV per atom
D(E_F): 0.404 states/eV per atom
total magnetization: 0.00 μB per formula unit
SG: Cm

---

CdP2Rh: relaxed, PBE.

Cell lengths 5.6497, 5.6497, 6.7715 Å; angles 65.34, 65.34, 90.00 degrees
With the nearest neighbours (Å) after each atom.
Fractional coordinates of all 8 atoms:
1 P 0.5709 0.1250 0.2500  2 Rh 2.26
2 P 0.1791 0.6250 0.2500  2 Rh 2.26
3 P 0.3750 0.4291 0.7500  2 Rh 2.26
4 P 0.8750 0.8209 0.7500  2 Rh 2.26
5 Rh 0.5000 0.5000 0.0000  4 P 2.26
6 Rh 0.2500 0.7500 0.5000  4 P 2.26
7 Cd 0.0000 0.0000 0.0000  4 P 2.61
8 Cd 0.7500 0.2500 0.5000  4 P 2.61

Summary:
E_tot: -4.83 eV/atom
formation energy from the elements: -0.0629 eV per atom
D(E_F): 0.577 states/eV per atom
total magnetization: 0.00 μB per formula unit
SG: I-42d

---

CdPRh: relaxed, PBE.

Cell lengths 3.0315, 4.2525, 4.8935 Å; angles 90.35, 108.05, 110.97 degrees
With the nearest neighbours (Å) after each atom.
Fractional coordinates of all 3 atoms:
1 Cd 0.6982 0.9125 0.9608  3 P 2.68-2.95, 3 Rh 2.82-2.85
2 P 0.7930 0.6156 0.4464  3 Rh 2.28-2.37
3 Rh 0.1417 0.2159 0.5443  3 P 2.28-2.37

Summary:
E_tot: -4.79 eV/atom
formation energy from the elements: -0.2299 eV per atom
D(E_F): 0.211 states/eV per atom
total magnetization: 0.00 μB per formula unit
SG: Cm

---

CdP3Rh: relaxed, PBE.

Cell lengths 4.6627, 4.6627, 4.6627 Å; angles 90.00, 90.00, 90.00 degrees
With the nearest neighbours (Å) after each atom.
Fractional coordinates of all 5 atoms:
1 P 0.0000 0.5000 0.0000  2 Rh 2.33
2 P 0.0000 0.0000 0.5000  2 Rh 2.33
3 P 0.5000 0.0000 0.0000  2 Rh 2.33
4 Rh 0.0000 0.0000 0.0000  6 P 2.33
5 Cd 0.5000 0.5000 0.5000  12 P 3.30

Summary:
E_tot: -4.32 eV/atom
polymorph energy (0 for the lowest one): 0.0 meV per atom
formation energy from the elements: 0.5759 eV per atom
D(E_F): 1.175 states/eV per atom
total magnetization: 0.00 μB per formula unit
SG: Pm-3m

---

Repeat the fourth record exactly.
CdP2Rh: relaxed, PBE.

Cell lengths 5.6497, 5.6497, 6.7715 Å; angles 65.34, 65.34, 90.00 degrees
With the nearest neighbours (Å) after each atom.
Fractional coordinates of all 8 atoms:
1 P 0.5709 0.1250 0.2500  2 Rh 2.26
2 P 0.1791 0.6250 0.2500  2 Rh 2.26
3 P 0.3750 0.4291 0.7500  2 Rh 2.26
4 P 0.8750 0.8209 0.7500  2 Rh 2.26
5 Rh 0.5000 0.5000 0.0000  4 P 2.26
6 Rh 0.2500 0.7500 0.5000  4 P 2.26
7 Cd 0.0000 0.0000 0.0000  4 P 2.61
8 Cd 0.7500 0.2500 0.5000  4 P 2.61

Summary:
E_tot: -4.83 eV/atom
formation energy from the elements: -0.0629 eV per atom
D(E_F): 0.577 states/eV per atom
total magnetization: 0.00 μB per formula unit
SG: I-42d

---

Which of these has the lowest E_tot?
number 3

---

Which formula does entry 4 have?
CdP2Rh